No. 1
A plane-wave DFT calculation with PBE was carried out for an optimized crystal structure of Nd4Er3Tm8.

POSCAR file:
```
Nd4Er3Tm8
1.0
3.450 1.992 11.734
-3.450 1.992 11.734
0.000 -3.984 11.734
Nd Er Tm
4 3 8
direct
0.000 0.000 0.000
0.163 0.163 0.163
0.500 0.500 0.500
0.837 0.837 0.837
0.000 0.500 0.500
0.500 0.000 0.500
0.500 0.500 0.000
0.250 0.250 0.746
0.250 0.746 0.250
0.254 0.750 0.750
0.256 0.256 0.256
0.744 0.744 0.744
0.746 0.250 0.250
0.750 0.254 0.750
0.750 0.750 0.254
```

Properties
The space group is R-3m (166). As for the total energy: -66.71 eV for the cell shown. For the density of states at the Fermi level, the calculation gives 21.66 states/eV/f.u. The calculation puts the total moment at 0.0 μB per formula unit. For the energy relative to the elements, the calculation gives 1.8 eV/f.u.

=====

No. 2
A plane-wave DFT calculation with PBE was carried out for an optimized crystal structure of Nd6Er3Tm.

POSCAR file:
```
Nd6Er3Tm
1.0
5.491 0.000 0.000
0.000 10.293 0.000
-2.270 0.000 12.263
Nd Er Tm
12 6 2
direct
0.008 0.185 0.007
0.008 0.315 0.507
0.104 0.006 0.770
0.104 0.494 0.270
0.423 0.171 0.355
0.423 0.329 0.855
0.577 0.671 0.145
0.577 0.829 0.645
0.896 0.506 0.730
0.896 0.994 0.230
0.992 0.685 0.493
0.992 0.815 0.993
0.425 0.667 0.866
0.425 0.833 0.366
0.500 0.000 0.000
0.500 0.500 0.500
0.575 0.167 0.634
0.575 0.333 0.134
0.000 0.000 0.500
0.000 0.500 0.000
```

Properties
The space group is P2_1/c (14). As for the total energy: -89.17 eV for the cell shown. For the density of states at the Fermi level, the calculation gives 14.75 states/eV/f.u. The calculation puts the total moment at 0.0 μB per formula unit. For the energy relative to the elements, the calculation gives 2.2 eV/f.u.

=====

No. 3
A plane-wave DFT calculation with PBE was carried out for an optimized crystal structure of Nd5Er12Tm2.

POSCAR file:
```
Nd5Er12Tm2
1.0
7.768 -4.626 0.000
7.768 4.626 0.000
-0.306 0.000 8.584
Nd Er Tm
5 12 2
direct
0.000 0.000 0.000
0.231 0.231 0.070
0.294 0.294 0.482
0.706 0.706 0.518
0.769 0.769 0.930
0.032 0.673 0.261
0.075 0.075 0.376
0.181 0.561 0.831
0.327 0.968 0.739
0.439 0.819 0.169
0.444 0.444 0.165
0.556 0.556 0.835
0.561 0.181 0.831
0.673 0.032 0.261
0.819 0.439 0.169
0.925 0.925 0.624
0.968 0.327 0.739
0.326 0.674 0.500
0.674 0.326 0.500
```

Properties
The space group is C2/m (12). As for the total energy: -85.31 eV for the cell shown. For the density of states at the Fermi level, the calculation gives 24.67 states/eV/f.u. The calculation puts the total moment at 0.0 μB per formula unit. For the energy relative to the elements, the calculation gives 2.2 eV/f.u.

=====

No. 4
A plane-wave DFT calculation with PBE was carried out for an optimized crystal structure of Nd6Er5Tm.

POSCAR file:
```
Nd6Er5Tm
1.0
3.121 -5.405 0.000
3.121 5.405 0.000
-2.074 0.000 11.581
Nd Er Tm
6 5 1
direct
0.084 0.417 0.750
0.250 0.250 0.250
0.417 0.084 0.750
0.583 0.916 0.250
0.750 0.750 0.750
0.916 0.583 0.250
0.000 0.000 0.500
0.167 0.833 0.000
0.333 0.667 0.500
0.667 0.333 0.500
0.833 0.167 0.000
0.500 0.500 0.000
```

Properties
The space group is C2/m (12). As for the total energy: -55.73 eV for the cell shown. For the density of states at the Fermi level, the calculation gives 12.44 states/eV/f.u. The calculation puts the total moment at 0.0 μB per formula unit. For the energy relative to the elements, the calculation gives 0.2 eV/f.u.

=====

No. 5
A plane-wave DFT calculation with PBE was carried out for an optimized crystal structure of Nd8ErTm3.

POSCAR file:
```
Nd8ErTm3
1.0
3.516 -5.985 0.000
3.516 5.985 0.000
-2.457 0.000 9.566
Nd Er Tm
8 1 3
direct
0.181 0.683 0.666
0.182 0.182 0.165
0.317 0.819 0.334
0.319 0.319 0.833
0.681 0.681 0.167
0.683 0.181 0.666
0.818 0.818 0.835
0.819 0.317 0.334
0.500 0.500 0.500
0.000 0.000 0.500
0.000 0.500 0.000
0.500 0.000 0.000
```

Properties
The space group is C2/m (12). As for the total energy: -54.76 eV for the cell shown. For the density of states at the Fermi level, the calculation gives 21.72 states/eV/f.u. The calculation puts the total moment at 0.0 μB per formula unit. For the energy relative to the elements, the calculation gives 1.4 eV/f.u.

=====

No. 6
A plane-wave DFT calculation with PBE was carried out for an optimized crystal structure of Nd2ErTm.

POSCAR file:
```
Nd2ErTm
1.0
3.607 0.000 0.000
0.000 3.607 0.000
0.000 0.000 10.045
Nd Er Tm
2 1 1
direct
0.000 0.000 0.249
0.000 0.000 0.751
0.500 0.500 0.500
0.500 0.500 0.000
```

Properties
The space group is P4/mmm (123). As for the total energy: -18.48 eV for the cell shown. For the density of states at the Fermi level, the calculation gives 5.93 states/eV/f.u. The calculation puts the total moment at 0.0 μB per formula unit. For the energy relative to the elements, the calculation gives 0.1 eV/f.u.